No. 1
An optimized crystal structure of Ba5AgIr. Source: Alexandria, functional PBE.

Structure (POSCAR):
```
Ba5AgIr
1.0
8.0840 -0.5729 2.5484
2.7492 7.6237 2.5484
0.3210 0.2089 11.6819
Ba Ir Ag
10 2 2
Direct
0.0916 0.9084 0.2500
0.6930 0.8410 0.1381
0.3070 0.1590 0.8619
0.2422 0.6473 0.9685
0.8410 0.6930 0.6381
0.1590 0.3070 0.3619
0.3527 0.7578 0.5315
0.6473 0.2422 0.4685
0.9084 0.0916 0.7500
0.7578 0.3527 0.0315
0.0000 0.0000 0.5000
0.0000 0.0000 0.0000
0.4382 0.5618 0.2500
0.5618 0.4382 0.7500
```

## Properties
For the energy relative to the elements, the calculation gives -0.131 eV/atom. The value obtained for the magnetization is 0.00 Bohr magnetons per cell. The theoretical density comes out at 4.50 Mg/m³. The calculation puts the volume at 728.8 Å³/cell. The space group is C2/c, No. 15.

***

No. 2
An optimized crystal structure of BaAgIr. Source: Alexandria, functional PBE.

Structure (POSCAR):
```
BaAgIr
1.0
-2.0450 -1.0007 -4.3483
1.2098 -4.1111 -2.3930
-3.2522 -3.6544 -0.3997
Ag Ir Ba
1 1 1
Direct
0.0000 0.0000 0.0000
0.7500 0.7500 0.7500
0.5000 0.5000 0.5000
```

## Properties
For the energy relative to the elements, the calculation gives 0.368 eV/atom. The value obtained for the magnetization is 0.00 Bohr magnetons per cell. The theoretical density comes out at 8.69 Mg/m³. The calculation puts the volume at 83.6 Å³/cell. The space group is F-43m, No. 216. The value obtained for the distance to the lowest polymorph of the same formula is 0.4676 eV per atom.

***

No. 3
An optimized crystal structure of BaAg2Ir. Source: Alexandria, functional PBE.

Structure (POSCAR):
```
BaAg2Ir
1.0
10.6120 0.0283 0.0166
10.1576 3.0723 0.0166
10.1576 1.5163 2.6721
Ag Ba Ir
2 1 1
Direct
0.0127 0.0127 0.0127
0.4873 0.4873 0.4873
0.2500 0.2500 0.2500
0.7500 0.7500 0.7500
```

## Properties
For the energy relative to the elements, the calculation gives 0.742 eV/atom. The value obtained for the magnetization is 0.71 Bohr magnetons per cell. The theoretical density comes out at 10.55 Mg/m³. The calculation puts the volume at 85.8 Å³/cell. The space group is R-3m, No. 166. The value obtained for the distance to the lowest polymorph of the same formula is 0.6657 eV per atom.